This record from the Alexandria database describes a relaxed structure of NaBi2Pb. The functional is PBE-GGA.

## Properties
* energy relative to the elements: -0.139 eV per atom
* magnetic moment: 0.00 μB/f.u.
* density of states at the Fermi level: 1.0 states/eV/f.u.
* SG: Pm (6)
* electronic total energy: -3.3361 eV/atom

Cell lengths 7.1650, 5.2836, 7.8836 Å; angles 90.00, 116.14, 90.00 degrees
Closest atoms and distances in Å follow each position.
Fractional coordinates of all 8 atoms:
Na  0.0000  0.0000  0.0000  7 Bi 3.51-3.64, 2 Na 3.60-3.63, 3 Pb 3.63-3.75
Na  0.4701  0.0000  0.9337  7 Bi 3.55-3.66, 2 Na 3.60-3.63, 3 Pb 3.60-3.65
Bi  0.0201  0.0000  0.4693  3 Pb 3.21-3.26, 2 Bi 3.32
Bi  0.3697  0.5000  0.1824  1 Bi 3.10, 3 Pb 3.21-3.35
Bi  0.6678  0.5000  0.7576  1 Bi 3.15, 3 Pb 3.15-3.36, 2 Na 3.51
Bi  0.8091  0.5000  0.1967  4 Bi 3.10-3.32
Pb  0.0952  0.5000  0.7329  4 Bi 3.15-3.26
Pb  0.4693  0.0000  0.4706  5 Bi 3.21-3.36